Material: UCdGaO6
Method: DFT, PBE-GGA
State: relaxed

Cell lengths 5.3730, 5.3730, 9.6831 Å; angles 90.00, 90.00, 120.00 degrees
Last column: nearest neighbours and their distance in Å.
Element x y z (fractional)
O: 0.3598 0.0086 0.6382  1 Ga 2.01, 1 U 2.08
O: 0.0086 0.3598 0.1382  1 Ga 2.01, 1 U 2.08
O: 0.9914 0.3511 0.6382  1 Ga 2.01, 1 U 2.08
O: 0.3511 0.9914 0.1382  1 Ga 2.01, 1 U 2.08
O: 0.9914 0.6402 0.8618  1 Ga 2.01, 1 U 2.08
O: 0.3511 0.3598 0.3618  1 Ga 2.01, 1 U 2.08
O: 0.6402 0.9914 0.3618  1 Ga 2.01, 1 U 2.08
O: 0.6489 0.6402 0.6382  1 Ga 2.01, 1 U 2.08
O: 0.6489 0.0086 0.8618  1 Ga 2.01, 1 U 2.08
O: 0.0086 0.6489 0.3618  1 Ga 2.01, 1 U 2.08
O: 0.3598 0.3511 0.8618  1 Ga 2.01, 1 U 2.08
O: 0.6402 0.6489 0.1382  1 Ga 2.01, 1 U 2.08
U: 0.6667 0.3333 0.2500  6 O 2.08
U: 0.3333 0.6667 0.7500  6 O 2.08
Ga: 0.3333 0.6667 0.2500  6 O 2.01
Ga: 0.6667 0.3333 0.7500  6 O 2.01
Cd: 0.0000 0.0000 0.5000  6 O 2.33
Cd: 0.0000 0.0000 0.0000  6 O 2.33

Output
Uncorrected formation energy = -1.95 eV per atom
Fermi-level density of states = 0.79 states/eV/atom
Total energy = -62.49 eV per formula unit